Entry 1:
This record from Alexandria via LeMat-Bulk describes a relaxed MnInBr2 crystal. The functional is PBE.

It has space group Cm (No. 8), with a = 11.440 Å, b = 3.646 Å, c = 6.989 Å, α = 90.00°, β = 115.90° and γ = 90.00°. The asymmetric unit holds Mn at (0.000, 0.000, 0.000), In at (0.267, 0.000, 0.003), Br at (0.082, 0.500, 0.294) and Br at (0.423, 0.000, 0.706).

Its theoretical density is 4.17 g cm⁻³. For the distance to the lowest polymorph of the same formula, the calculation gives 46 meV per atom. The formation energy without anion corrections comes out at -0.36 eV/atom. Its total DFT energy (no corrections) is -0.3071 Ry per atom. Its density of states at the Fermi level is 0.20 states/eV per atom.

---

Entry 2:
This record from Alexandria via LeMat-Bulk describes a relaxed RbVICl2 crystal. The functional is PBE.

It has space group P4/mmm (No. 123), with a = 5.079 Å, b = 5.079 Å, c = 5.738 Å, α = 90.00°, β = 90.00° and γ = 90.00°. The asymmetric unit holds Rb at (0.000, 0.000, 0.000), V at (0.500, 0.500, 0.500), I at (0.500, 0.500, 0.000) and Cl at (0.000, 0.500, 0.500).

Its theoretical density is 3.75 g cm⁻³. The formation energy without anion corrections comes out at -1.17 eV/atom. Its total DFT energy (no corrections) is -0.3111 Ry per atom. Its density of states at the Fermi level is 0.28 states/eV per atom.

---

Entry 3:
This record from Alexandria via LeMat-Bulk describes a relaxed CaSc2InH crystal. The functional is PBE.

It has space group P4/mmm (No. 123), with a = 4.626 Å, b = 4.626 Å, c = 4.729 Å, α = 90.00°, β = 90.00° and γ = 90.00°. The asymmetric unit holds Ca at (0.000, 0.000, 0.000), Sc at (0.000, 0.500, 0.500), In at (0.500, 0.500, 0.000) and H at (0.000, 0.000, 0.500).

Its theoretical density is 4.03 g cm⁻³. Its total DFT energy (no corrections) is -0.3258 Ry per atom. Its density of states at the Fermi level is 0.88 states/eV per atom.

---

Entry 4:
This record from Alexandria via LeMat-Bulk describes a relaxed Ca6In5Cu crystal. The functional is PBE.

It has space group Cmmm (No. 65), with a = 5.363 Å, b = 16.150 Å, c = 7.750 Å, α = 90.00°, β = 90.00° and γ = 90.00°. The asymmetric unit holds Ca at (0.000, 0.000, 0.239), Ca at (0.000, 0.340, 0.246), In at (0.000, 0.170, 0.500), In at (0.000, 0.173, 0.000), In at (0.000, 0.500, 0.500) and Cu at (0.000, 0.500, 0.000).

Its theoretical density is 4.34 g cm⁻³. For the formation energy from the elements, the calculation gives -8.936 kcal/mol of atoms. Its total DFT energy (no corrections) is -0.2110 Ry per atom. Its density of states at the Fermi level is 0.71 states/eV per atom.

---

Entry 5:
This record from Alexandria via LeMat-Bulk describes a relaxed LaNd2DyHo2 crystal. The functional is PBE.

It has space group Pnnm (No. 58), with a = 7.066 Å, b = 9.938 Å, c = 5.704 Å, α = 90.00°, β = 90.00° and γ = 90.00°. The asymmetric unit holds La at (0.000, 0.000, 0.000), Nd at (0.247, 0.333, 0.000), Dy at (0.000, 0.500, 0.500) and Ho at (0.250, 0.167, 0.500).

Its theoretical density is 7.63 g cm⁻³. For the formation energy from the elements, the calculation gives 1.422 kcal/mol of atoms. Its total DFT energy (no corrections) is -0.3412 Ry per atom. Its density of states at the Fermi level is 1.50 states/eV per atom.

---

Entry 6:
This record from Alexandria via LeMat-Bulk describes a relaxed Mg14BiPb crystal. The functional is PBE.

It has space group P4/mmm (No. 123), with a = 6.411 Å, b = 6.411 Å, c = 9.251 Å, α = 90.00°, β = 90.00° and γ = 90.00°. The asymmetric unit holds Mg at (0.000, 0.000, 0.000), Mg at (0.000, 0.500, 0.000), Mg at (0.000, 0.500, 0.500), Mg at (0.250, 0.250, 0.240), Mg at (0.500, 0.500, 0.000), Bi at (0.000, 0.000, 0.500) and Pb at (0.500, 0.500, 0.500).

Its theoretical density is 3.30 g cm⁻³. For the formation energy from the elements, the calculation gives -0.779 kcal/mol of atoms. Its total DFT energy (no corrections) is -0.1399 Ry per atom. Its density of states at the Fermi level is 0.34 states/eV per atom.